Record 1
{
  "formula": "MgNpGa",
  "functional": "GGA-PBE",
  "state": "relaxed",
  "crystal_system": "cubic",
  "mass_density_kg_m3": 7258,
  "energy_ev_per_cell": -16.5,
  "lattice": [[0.000, 3.358, 3.358], [3.358, 0.000, 3.358], [3.358, 3.358, 0.000]],
  "species": ["Mg", "Np", "Ga"],
  "fractional_positions": [[0.000, 0.000, 0.000], [0.500, 0.500, 0.500], [0.250, 0.250, 0.250]]
}

Record 2
{
  "formula": "HfP",
  "functional": "GGA-PBE",
  "state": "relaxed",
  "crystal_system": "cubic",
  "mass_density_kg_m3": 7139,
  "energy_ev_per_cell": -16.5,
  "lattice": [[0.000, 2.899, 2.899], [2.899, 0.000, 2.899], [2.899, 2.899, 0.000]],
  "species": ["Hf", "P"],
  "fractional_positions": [[0.000, 0.000, 0.000], [0.750, 0.750, 0.750]]
}

Record 3
{
  "formula": "DyAgSnS3",
  "functional": "GGA-PBE",
  "state": "relaxed",
  "crystal_system": "orthorhombic",
  "mass_density_kg_m3": 5502,
  "relative_energy_mev_per_atom": 0,
  "energy_ev_per_cell": -119.2,
  "lattice": [[11.903, 0.000, 0.000], [0.000, 3.952, 0.000], [0.000, 0.000, 12.454]],
  "species": ["Dy", "Dy", "Dy", "Dy", "Ag", "Ag", "Ag", "Ag", "Sn", "Sn", "Sn", "Sn", "S", "S", "S", "S", "S", "S", "S", "S", "S", "S", "S", "S"],
  "fractional_positions": [[0.014, 0.250, 0.151], [0.486, 0.750, 0.651], [0.514, 0.250, 0.349], [0.986, 0.750, 0.849], [0.200, 0.750, 0.388], [0.300, 0.250, 0.888], [0.700, 0.750, 0.112], [0.800, 0.250, 0.612], [0.170, 0.250, 0.581], [0.330, 0.750, 0.081], [0.670, 0.250, 0.919], [0.830, 0.750, 0.419], [0.014, 0.750, 0.306], [0.106, 0.250, 0.949], [0.246, 0.250, 0.200], [0.254, 0.750, 0.700], [0.394, 0.750, 0.449], [0.486, 0.250, 0.806], [0.514, 0.750, 0.194], [0.606, 0.250, 0.551], [0.746, 0.250, 0.300], [0.754, 0.750, 0.800], [0.894, 0.750, 0.051], [0.986, 0.250, 0.694]]
}

Record 4
{
  "formula": "ThBi2Au2",
  "functional": "GGA-PBE",
  "state": "relaxed",
  "crystal_system": "tetragonal",
  "mass_density_kg_m3": 12671,
  "energy_ev_per_cell": -22.6,
  "lattice": [[-2.347, 2.347, 6.209], [2.347, -2.347, 6.209], [2.347, 2.347, -6.209]],
  "species": ["Th", "Bi", "Bi", "Au", "Au"],
  "fractional_positions": [[0.000, 0.000, 0.000], [0.250, 0.750, 0.500], [0.750, 0.250, 0.500], [0.395, 0.395, 0.000], [0.605, 0.605, 0.000]]
}

Record 5
{
  "formula": "TcB2",
  "functional": "GGA-PBE",
  "state": "relaxed",
  "crystal_system": "cubic",
  "mass_density_kg_m3": 7780,
  "relative_energy_mev_per_atom": 939,
  "energy_ev_per_cell": -44.4,
  "lattice": [[0.000, 2.945, 2.945], [2.945, 0.000, 2.945], [2.945, 2.945, 0.000]],
  "species": ["Tc", "Tc", "B", "B", "B", "B"],
  "fractional_positions": [[0.125, 0.125, 0.125], [0.875, 0.875, 0.875], [0.000, 0.500, 0.500], [0.500, 0.000, 0.500], [0.500, 0.500, 0.000], [0.500, 0.500, 0.500]]
}

Record 6
{
  "formula": "Ho3Fe",
  "functional": "GGA-PBE",
  "state": "relaxed",
  "crystal_system": "cubic",
  "mass_density_kg_m3": 9351,
  "energy_ev_per_cell": -20.6,
  "delta_e_f_ev_per_atom": 0.37,
  "lattice": [[0.000, 3.657, 3.657], [3.657, 0.000, 3.657], [3.657, 3.657, 0.000]],
  "species": ["Ho", "Ho", "Ho", "Fe"],
  "fractional_positions": [[0.000, 0.000, 0.000], [0.250, 0.250, 0.250], [0.750, 0.750, 0.750], [0.500, 0.500, 0.500]]
}

Repeat the fourth record exactly.
{
  "formula": "ThBi2Au2",
  "functional": "GGA-PBE",
  "state": "relaxed",
  "crystal_system": "tetragonal",
  "mass_density_kg_m3": 12671,
  "energy_ev_per_cell": -22.6,
  "lattice": [[-2.347, 2.347, 6.209], [2.347, -2.347, 6.209], [2.347, 2.347, -6.209]],
  "species": ["Th", "Bi", "Bi", "Au", "Au"],
  "fractional_positions": [[0.000, 0.000, 0.000], [0.250, 0.750, 0.500], [0.750, 0.250, 0.500], [0.395, 0.395, 0.000], [0.605, 0.605, 0.000]]
}